{"formula": "AlCrO4", "functional": "GGA+U", "state": "relaxed", "lattice": [[-2.606, 2.554, -2.560], [-3.461, -2.563, 1.147], [-0.531, 1.734, 2.271]], "species": ["Al", "Cr", "O", "O", "O", "O"], "fractional_positions": [[0.000, 0.000, 0.000], [0.500, 0.500, 0.500], [0.302, 0.698, 0.000], [0.803, 0.803, 0.500], [0.698, 0.302, 0.000], [0.197, 0.197, 0.500]], "dos_ef_per_ev_atom": 0.4298, "dft_energy_ev_per_atom": -7.115, "m_tot_mub_per_fu": 0.998}